Below is crystalline RuPt3Rh3 at its relaxed geometry, with properties calculated at the PBE level.

```
data_RuPt3Rh3
_chemical_formula_sum 'Ru6 Pt18 Rh18'
_space_group_name_H-M_alt 'R -3'
_space_group_IT_number 148
_space_group_name_Hall '-R 3'
_cell_length_a 6.8173
_cell_length_b 6.8173
_cell_length_c 16.2747
_cell_angle_alpha 90.00
_cell_angle_beta 90.00
_cell_angle_gamma 120.00
loop_
_atom_site_label
_atom_site_type_symbol
_atom_site_fract_x
_atom_site_fract_y
_atom_site_fract_z
Ru1 Ru 0.0000 0.0000 0.0770
Pt1 Pt 0.0355 0.7709 0.2030
Rh1 Rh 0.0515 0.2512 0.6363
```

Output
Electronic total energy: -0.25162 hartree per atom
Energy above the lowest structure with this stoichiometry: 0.00 eV per formula unit
Spin magnetization: 0.00 μB per formula unit
Energy of formation from the pure elements: 0.218 eV/atom

---

Below is crystalline YZr2W at its relaxed geometry, with properties calculated at the PBE level.

```
data_YZr2W
_chemical_formula_sum 'Y2 Zr4 W2'
_space_group_name_H-M_alt 'C 1 m 1'
_space_group_IT_number 8
_space_group_name_Hall 'C -2y'
_cell_length_a 10.0089
_cell_length_b 2.9785
_cell_length_c 5.9909
_cell_angle_alpha 90.00
_cell_angle_beta 92.70
_cell_angle_gamma 90.00
loop_
_atom_site_label
_atom_site_type_symbol
_atom_site_fract_x
_atom_site_fract_y
_atom_site_fract_z
Y1 Y 0.0000 0.0000 0.0000
Zr1 Zr 0.0044 0.5000 0.5212
Zr2 Zr 0.2592 0.5000 0.2859
W1 W 0.2530 0.0000 0.7372
```

Output
Electronic total energy: -0.32055 hartree per atom
Energy above the lowest structure with this stoichiometry: 0.95 eV per formula unit
Spin magnetization: 0.00 μB per formula unit
Energy of formation from the pure elements: 0.406 eV/atom

---

Below is crystalline ScCoRe2 at its relaxed geometry, with properties calculated at the PBE level.

```
data_ScCoRe2
_chemical_formula_sum 'Sc2 Co2 Re4'
_space_group_name_H-M_alt 'C m m m'
_space_group_IT_number 65
_space_group_name_Hall '-C 2 2'
_cell_length_a 5.1692
_cell_length_b 8.5633
_cell_length_c 2.7257
_cell_angle_alpha 90.00
_cell_angle_beta 90.00
_cell_angle_gamma 90.00
loop_
_atom_site_label
_atom_site_type_symbol
_atom_site_fract_x
_atom_site_fract_y
_atom_site_fract_z
Sc1 Sc 0.0000 0.0000 0.0000
Co1 Co 0.0000 0.5000 0.0000
Re1 Re 0.2500 0.2500 0.5000
```

Output
Electronic total energy: -0.34336 hartree per atom
Energy above the lowest structure with this stoichiometry: 1.27 eV per formula unit
Spin magnetization: 0.76 μB per formula unit
Energy of formation from the pure elements: 0.240 eV/atom

---

Below is crystalline CeHo4Er at its relaxed geometry, with properties calculated at the PBE level.

```
data_CeHo4Er
_chemical_formula_sum 'Ce2 Ho8 Er2'
_space_group_name_H-M_alt 'C 1 2/m 1'
_space_group_IT_number 12
_space_group_name_Hall '-C 2y'
_cell_length_a 17.0613
_cell_length_b 3.5478
_cell_length_c 6.1450
_cell_angle_alpha 90.00
_cell_angle_beta 96.74
_cell_angle_gamma 90.00
loop_
_atom_site_label
_atom_site_type_symbol
_atom_site_fract_x
_atom_site_fract_y
_atom_site_fract_z
Ce1 Ce 0.0000 0.0000 0.0000
Ho1 Ho 0.1657 0.5000 0.8905
Ho2 Ho 0.1671 0.0000 0.3869
Er1 Er 0.0000 0.5000 0.5000
```

Output
Electronic total energy: -0.17557 hartree per atom
Energy above the lowest structure with this stoichiometry: 0.00 eV per formula unit
Spin magnetization: 0.84 μB per formula unit
Energy of formation from the pure elements: 0.024 eV/atom

---

Below is crystalline CrGa2Ni2 at its relaxed geometry, with properties calculated at the PBE level.

```
data_CrGa2Ni2
_chemical_formula_sum 'Cr2 Ga4 Ni4'
_space_group_name_H-M_alt 'P 4/m b m'
_space_group_IT_number 127
_space_group_name_Hall '-P 4 2ab'
_cell_length_a 6.9284
_cell_length_b 6.9284
_cell_length_c 2.7871
_cell_angle_alpha 90.00
_cell_angle_beta 90.00
_cell_angle_gamma 90.00
loop_
_atom_site_label
_atom_site_type_symbol
_atom_site_fract_x
_atom_site_fract_y
_atom_site_fract_z
Cr1 Cr 0.0000 0.0000 0.0000
Ga1 Ga 0.1659 0.3341 0.5000
Ni1 Ni 0.1317 0.6317 0.0000
```

Output
Electronic total energy: -0.20467 hartree per atom
Energy above the lowest structure with this stoichiometry: 0.00 eV per formula unit
Spin magnetization: 3.85 μB per formula unit
Energy of formation from the pure elements: -0.121 eV/atom

---

Below is crystalline PmPa3Se4 at its relaxed geometry, with properties calculated at the PBE level.

```
data_PmPa3Se4
_chemical_formula_sum 'Pm2 Pa6 Se8'
_space_group_name_H-M_alt 'C m m m'
_space_group_IT_number 65
_space_group_name_Hall '-C 2 2'
_cell_length_a 8.5219
_cell_length_b 11.5909
_cell_length_c 3.9292
_cell_angle_alpha 90.00
_cell_angle_beta 90.00
_cell_angle_gamma 90.00
loop_
_atom_site_label
_atom_site_type_symbol
_atom_site_fract_x
_atom_site_fract_y
_atom_site_fract_z
Pm1 Pm 0.0000 0.0000 0.0000
Pa1 Pa 0.0000 0.5000 0.0000
Pa2 Pa 0.2500 0.2500 0.5000
Se1 Se 0.0000 0.2505 0.0000
Se2 Se 0.2480 0.5000 0.5000
```

Output
Electronic total energy: -0.26607 hartree per atom
Spin magnetization: 1.21 μB per formula unit